(1)
Na3Cd7In: optimized geometry, PBE.

```
Na3Cd7In
1.0
1.640 -11.233 0.000
1.640 11.233 0.000
0.000 0.000 16.037
Na Cd In
6 14 2
direct
0.121 0.879 0.538
0.121 0.879 0.962
0.249 0.751 0.250
0.751 0.249 0.750
0.879 0.121 0.038
0.879 0.121 0.462
0.264 0.736 0.573
0.264 0.736 0.927
0.374 0.626 0.657
0.374 0.626 0.843
0.395 0.605 0.250
0.499 0.501 0.589
0.499 0.501 0.911
0.501 0.499 0.089
0.501 0.499 0.411
0.605 0.395 0.750
0.626 0.374 0.157
0.626 0.374 0.343
0.736 0.264 0.073
0.736 0.264 0.427
0.021 0.979 0.250
0.979 0.021 0.750
```

Properties
Its crystal system is orthorhombic. The formation enthalpy at 0 K comes out at -20 meV per atom. The space group is Cmcm. The value obtained for the total energy is -26.645 eV per cell.

***

(2)
NaCd3In9: optimized geometry, PBE.

```
NaCd3In9
1.0
2.919 -7.805 0.000
2.919 7.805 0.000
-2.789 0.000 7.810
Na Cd In
1 3 9
direct
0.000 0.000 0.000
0.000 0.000 0.500
0.000 0.500 0.000
0.500 0.000 0.000
0.003 0.645 0.648
0.289 0.496 0.796
0.355 0.997 0.352
0.496 0.289 0.796
0.500 0.500 0.500
0.504 0.711 0.204
0.645 0.003 0.648
0.711 0.504 0.204
0.997 0.355 0.352
```

Properties
Its crystal system is monoclinic. The formation enthalpy at 0 K comes out at 11 meV per atom. The space group is C2/m. The value obtained for the total energy is -28.563 eV per cell.

***

(3)
Na3CdIn: optimized geometry, PBE.

```
Na3CdIn
1.0
10.490 0.000 0.000
-5.245 9.085 0.000
0.000 0.000 5.753
Na Cd In
9 3 3
direct
0.001 0.500 0.000
0.166 0.333 0.333
0.166 0.834 0.333
0.334 0.167 0.667
0.500 0.500 0.000
0.500 0.999 0.000
0.667 0.834 0.333
0.833 0.167 0.667
0.833 0.666 0.667
0.000 0.000 0.002
0.333 0.667 0.669
0.667 0.333 0.336
0.000 0.000 0.503
0.333 0.667 0.169
0.667 0.333 0.836
```

Properties
Its crystal system is trigonal. The formation enthalpy at 0 K comes out at 28 meV per atom. The value obtained for the energy above the most stable polymorph in this dataset is 124.1 meV per atom. The space group is R3m. The value obtained for the total energy is -22.417 eV per cell.

***

(4)
NaCd4In5: optimized geometry, PBE.

```
NaCd4In5
1.0
-4.718 4.718 3.043
4.718 -4.718 3.043
4.718 4.718 -3.043
Na Cd In
1 4 5
direct
0.000 0.000 0.000
0.460 0.591 0.616
0.591 0.975 0.131
0.843 0.460 0.869
0.975 0.843 0.384
0.142 0.554 0.266
0.288 0.876 0.734
0.483 0.483 0.000
0.554 0.288 0.412
0.876 0.142 0.588
```

Properties
Its crystal system is tetragonal. The formation enthalpy at 0 K comes out at 54 meV per atom. The value obtained for the energy above the most stable polymorph in this dataset is 57.7 meV per atom. The space group is I4. The value obtained for the total energy is -18.133 eV per cell.

***

(5)
NaCd5In4: optimized geometry, PBE.

```
NaCd5In4
1.0
3.327 0.000 0.000
0.000 3.327 0.000
0.000 0.000 22.663
Na Cd In
1 5 4
direct
0.000 0.000 0.000
0.500 0.500 0.103
0.500 0.500 0.300
0.500 0.500 0.500
0.500 0.500 0.700
0.500 0.500 0.897
0.000 0.000 0.203
0.000 0.000 0.400
0.000 0.000 0.600
0.000 0.000 0.797
```

Properties
Its crystal system is tetragonal. The formation enthalpy at 0 K comes out at 0 meV per atom. The value obtained for the energy above the most stable polymorph in this dataset is 0.0 meV per atom. The space group is P4/mmm. The value obtained for the total energy is -16.847 eV per cell.

***

(6)
NaCd3In6: optimized geometry, PBE.

```
NaCd3In6
1.0
8.643 0.000 0.000
0.000 5.666 0.000
-4.014 0.000 10.590
Na Cd In
2 6 12
direct
0.101 0.250 0.068
0.899 0.750 0.932
0.110 0.750 0.737
0.297 0.250 0.868
0.300 0.750 0.536
0.700 0.250 0.464
0.703 0.750 0.132
0.890 0.250 0.263
0.096 0.250 0.568
0.100 0.750 0.239
0.294 0.250 0.367
0.308 0.750 0.039
0.494 0.250 0.661
0.498 0.750 0.833
0.502 0.250 0.167
0.506 0.750 0.339
0.692 0.250 0.961
0.706 0.750 0.633
0.900 0.250 0.761
0.904 0.750 0.432
```

Properties
Its crystal system is monoclinic. The formation enthalpy at 0 K comes out at 4 meV per atom. The value obtained for the energy above the most stable polymorph in this dataset is 0.0 meV per atom. The space group is P2_1/m. The value obtained for the total energy is -40.901 eV per cell.

***

(7)
Na3Cd5In: optimized geometry, PBE.

```
Na3Cd5In
1.0
-4.410 4.410 6.291
4.410 -4.410 6.291
4.410 4.410 -6.291
Na Cd In
6 10 2
direct
0.111 0.611 0.722
0.250 0.250 0.000
0.389 0.111 0.500
0.611 0.889 0.500
0.750 0.750 0.000
0.889 0.389 0.278
0.000 0.000 0.000
0.066 0.162 0.500
0.162 0.662 0.096
0.338 0.434 0.500
0.434 0.934 0.096
0.500 0.500 0.000
0.566 0.066 0.904
0.662 0.566 0.500
0.838 0.338 0.904
0.934 0.838 0.500
0.250 0.750 0.500
0.750 0.250 0.500
```

Properties
Its crystal system is tetragonal. The formation enthalpy at 0 K comes out at 38 meV per atom. The space group is I4/mcm. The value obtained for the total energy is -21.862 eV per cell.

***

(8)
Na8Cd2In: optimized geometry, PBE.

```
Na8Cd2In
1.0
4.956 0.000 0.000
0.001 7.341 0.000
2.452 1.511 8.860
Na Cd In
8 2 1
direct
0.000 0.000 0.000
0.089 0.448 0.822
0.264 0.349 0.468
0.353 0.804 0.292
0.544 0.706 0.911
0.634 0.157 0.731
0.810 0.063 0.377
0.899 0.512 0.200
0.181 0.873 0.638
0.450 0.256 0.099
0.718 0.634 0.561
```

Properties
Its crystal system is triclinic. The formation enthalpy at 0 K comes out at -53 meV per atom. The value obtained for the energy above the most stable polymorph in this dataset is 0.0 meV per atom. The space group is P1. The value obtained for the total energy is -15.699 eV per cell.

***

(9)
Na5Cd2In12: optimized geometry, PBE.

```
Na5Cd2In12
1.0
7.710 -4.338 0.000
7.710 4.338 0.000
-0.020 0.000 7.666
Na Cd In
5 2 12
direct
0.000 0.000 0.000
0.241 0.241 0.088
0.304 0.304 0.503
0.696 0.696 0.497
0.759 0.759 0.912
0.307 0.693 0.500
0.693 0.307 0.500
0.027 0.657 0.240
0.095 0.095 0.415
0.170 0.574 0.836
0.343 0.973 0.760
0.426 0.830 0.164
0.450 0.450 0.179
0.550 0.550 0.821
0.574 0.170 0.836
0.657 0.027 0.240
0.830 0.426 0.164
0.905 0.905 0.585
0.973 0.343 0.760
```

Properties
Its crystal system is monoclinic. The formation enthalpy at 0 K comes out at -52 meV per atom. The space group is C2/m. The value obtained for the total energy is -42.275 eV per cell.

***

(10)
Na4CdIn2: optimized geometry, PBE.

```
Na4CdIn2
1.0
5.792 0.000 0.000
0.000 5.792 0.000
0.000 0.000 15.540
Na Cd In
8 2 4
direct
0.000 0.000 0.199
0.000 0.000 0.801
0.000 0.500 0.000
0.000 0.500 0.500
0.500 0.000 0.000
0.500 0.000 0.500
0.500 0.500 0.301
0.500 0.500 0.699
0.000 0.000 0.000
0.500 0.500 0.500
0.000 0.000 0.402
0.000 0.000 0.598
0.500 0.500 0.098
0.500 0.500 0.902
```

Properties
Its crystal system is tetragonal. The formation enthalpy at 0 K comes out at 142 meV per atom. The value obtained for the energy above the most stable polymorph in this dataset is 200.8 meV per atom. The space group is I4/mmm. The value obtained for the total energy is -21.345 eV per cell.

***

(11)
NaCd3In12: optimized geometry, PBE.

```
NaCd3In12
1.0
4.745 0.000 0.000
0.000 4.745 0.000
0.000 0.000 18.525
Na Cd In
1 3 12
direct
0.000 0.000 0.000
0.000 0.000 0.248
0.000 0.000 0.500
0.000 0.000 0.752
0.000 0.500 0.127
0.000 0.500 0.373
0.000 0.500 0.627
0.000 0.500 0.873
0.500 0.000 0.127
0.500 0.000 0.373
0.500 0.000 0.627
0.500 0.000 0.873
0.500 0.500 0.000
0.500 0.500 0.250
0.500 0.500 0.500
0.500 0.500 0.750
```

Properties
Its crystal system is tetragonal. The formation enthalpy at 0 K comes out at -5 meV per atom. The space group is P4/mmm. The value obtained for the total energy is -37.014 eV per cell.

***

(12)
Na2Cd9In3: optimized geometry, PBE.

```
Na2Cd9In3
1.0
7.515 -4.386 0.000
7.515 4.386 0.000
0.000 0.000 10.710
Na Cd In
4 18 6
direct
0.000 0.322 0.250
0.000 0.678 0.750
0.322 0.000 0.750
0.678 0.000 0.250
0.005 0.660 0.095
0.005 0.660 0.405
0.136 0.864 0.250
0.331 0.669 0.576
0.331 0.669 0.924
0.340 0.995 0.095
0.340 0.995 0.405
0.346 0.452 0.250
0.452 0.346 0.750
0.548 0.654 0.250
0.654 0.548 0.750
0.660 0.005 0.595
0.660 0.005 0.905
0.669 0.331 0.076
0.669 0.331 0.424
0.864 0.136 0.750
0.995 0.340 0.595
0.995 0.340 0.905
0.000 0.000 0.000
0.000 0.000 0.500
0.321 0.321 0.000
0.321 0.321 0.500
0.679 0.679 0.000
0.679 0.679 0.500
```

Properties
Its crystal system is orthorhombic. The formation enthalpy at 0 K comes out at -32 meV per atom. The space group is Cmcm. The value obtained for the total energy is -39.082 eV per cell.